An optimized crystal structure of Sc2TaFe2, computed with PBE.

Lattice parameters (Å, degrees): 6.259 6.259 4.335 90.00 90.00 90.00
Sites, in units of the cell vectors:
Sc 0.179 0.321 0.000
Sc 0.321 0.821 0.000
Sc 0.679 0.179 0.000
Sc 0.821 0.679 0.000
Ta 0.000 0.000 0.500
Ta 0.500 0.500 0.500
Fe 0.121 0.621 0.500
Fe 0.379 0.121 0.500
Fe 0.621 0.879 0.500
Fe 0.879 0.379 0.500

Results
Its energy above the lowest structure with this stoichiometry is 74.4 meV/atom. As for the formation energy: -6.24 kJ per mole of atoms.

=====

An optimized crystal structure of KLi3Ca4Br12, computed with PBE.

Lattice parameters (Å, degrees): 9.303 9.303 9.303 109.47 109.47 109.47
Sites, in units of the cell vectors:
K 0.000 0.000 0.000
Li 0.000 0.500 0.500
Li 0.500 0.000 0.500
Li 0.500 0.500 0.000
Ca 0.000 0.000 0.500
Ca 0.000 0.500 0.000
Ca 0.500 0.000 0.000
Ca 0.500 0.500 0.500
Br 0.145 0.830 0.315
Br 0.170 0.315 0.486
Br 0.170 0.685 0.855
Br 0.315 0.145 0.830
Br 0.315 0.486 0.170
Br 0.486 0.170 0.315
Br 0.514 0.830 0.685
Br 0.685 0.514 0.830
Br 0.685 0.855 0.170
Br 0.830 0.315 0.145
Br 0.830 0.685 0.514
Br 0.855 0.170 0.685

Results
The calculation puts the energy relative to the elements, uncorrected at -1.82 eV per atom.

=====

An optimized crystal structure of ZnCr2Fe, computed with PBE.

Lattice parameters (Å, degrees): 3.482 3.482 3.953 90.00 90.00 90.00
Sites, in units of the cell vectors:
Zn 0.000 0.000 0.000
Cr 0.000 0.500 0.500
Cr 0.500 0.000 0.500
Fe 0.500 0.500 0.000

Results
As for the formation energy: 21.51 kJ per mole of atoms.

=====

An optimized crystal structure of La6Pm12In, computed with PBE.

Lattice parameters (Å, degrees): 8.710 8.710 8.710 89.30 89.30 89.30
Sites, in units of the cell vectors:
La 0.203 0.764 0.593
La 0.236 0.407 0.797
La 0.407 0.797 0.236
La 0.593 0.203 0.764
La 0.764 0.593 0.203
La 0.797 0.236 0.407
Pm 0.033 0.935 0.282
Pm 0.065 0.718 0.967
Pm 0.139 0.480 0.327
Pm 0.282 0.033 0.935
Pm 0.327 0.139 0.480
Pm 0.480 0.327 0.139
Pm 0.520 0.673 0.861
Pm 0.673 0.861 0.520
Pm 0.718 0.967 0.065
Pm 0.861 0.520 0.673
Pm 0.935 0.282 0.033
Pm 0.967 0.065 0.718
In 0.500 0.500 0.500

Results
As for the formation energy: 4.33 kJ per mole of atoms.

=====

An optimized crystal structure of Pm4MgAl, computed with PBE.

Lattice parameters (Å, degrees): 5.040 5.040 8.057 90.00 90.00 90.00
Sites, in units of the cell vectors:
Pm 0.000 0.500 0.229
Pm 0.000 0.500 0.771
Pm 0.500 0.000 0.229
Pm 0.500 0.000 0.771
Mg 0.000 0.000 0.500
Al 0.500 0.500 0.000

Results
Its energy above the lowest structure with this stoichiometry is 293.3 meV/atom. As for the formation energy: 16.18 kJ per mole of atoms.

=====

An optimized crystal structure of KRb2SrBr6, computed with PBE.

Lattice parameters (Å, degrees): 8.653 8.653 8.653 60.00 60.00 60.00
Sites, in units of the cell vectors:
K 0.000 0.000 0.000
Rb 0.250 0.250 0.250
Rb 0.750 0.750 0.750
Sr 0.500 0.500 0.500
Br 0.256 0.256 0.744
Br 0.256 0.744 0.256
Br 0.256 0.744 0.744
Br 0.744 0.256 0.256
Br 0.744 0.256 0.744
Br 0.744 0.744 0.256

Results
The calculation puts the energy relative to the elements, uncorrected at -1.53 eV per atom.

=====

- Number 6 is which compound?
  KRb2SrBr6